A geometry-optimized Zr2ScCu structure, computed with PBE.

extended XYZ file:
```
4
Lattice="-3.718 4.511 -0.177 -3.599 0.536 -4.578 1.754 -3.257 4.530" Properties=species:S:1:pos:R:3 pbc="T T T"
Zr -7.305 5.039 -4.747
Zr -2.597 1.742 1.127
Sc -2.992 0.067 -1.369
Cu -3.645 2.514 -2.369
```

V: 81.83 Å³/cell
Energy of formation: -0.7 kcal/mol of atoms
Symmetry: Imm2, No. 44
DFT total energy: -27.6 eV per cell
Crystal system: orthorhombic